Crystalline PuCdFe2O6 at its relaxed geometry, computed with PBE with a Hubbard U.

As for the total energy: -6.983 eV per atom. The crystal system is tetragonal.

It has space group P4mm (No. 99), with a = 6.096 Å, b = 6.096 Å, c = 4.243 Å, α = 90.00°, β = 90.00° and γ = 90.00°. The distinct sites, in fractional coordinates, are Pu at (0.000, 0.000, 0.000), Cd at (0.500, 0.500, 0.877), Fe at (0.000, 0.500, 0.133), O at (0.000, 0.000, 0.504), O at (0.237, 0.237, 0.033) and O at (0.500, 0.500, 0.393).